Record 1
A relaxed SrTl2AgF crystal, computed with PBE.

a = 5.1598 Å, b = 5.1598 Å, c = 5.3059 Å
α = 90.00°, β = 90.00°, γ = 90.00°
Space group P4/mmm (No. 123)
Unique sites:
Sr 0.0000 0.0000 0.0000
Tl 0.0000 0.5000 0.5000
Ag 0.5000 0.5000 0.0000
F 0.5000 0.5000 0.5000

Summary:
formation energy (no corrections): -0.5663 eV per atom
total magnetic moment: 0.00 Bohr magnetons per cell

Record 2
A relaxed Na2SmZn2Se4 crystal, computed with PBE.

a = 15.7351 Å, b = 4.0292 Å, c = 7.6820 Å
α = 90.00°, β = 113.25°, γ = 90.00°
Space group C2/m (No. 12)
Unique sites:
Na 0.1266 0.0000 0.0626
Sm 0.0000 0.0000 0.5000
Zn 0.1906 0.5000 0.5273
Se 0.0357 0.5000 0.2600
Se 0.2004 0.0000 0.7403

Summary:
formation energy (no corrections): -1.0004 eV per atom
total magnetic moment: 0.00 Bohr magnetons per cell

Record 3
A relaxed Pr3Nd2SmDy6 crystal, computed with PBE.

a = 6.2806 Å, b = 10.8780 Å, c = 11.8755 Å
α = 90.00°, β = 100.12°, γ = 90.00°
Space group C2/m (No. 12)
Unique sites:
Pr 0.0000 0.0000 0.0000
Pr 0.0000 0.3332 0.0000
Nd 0.0000 0.1665 0.5000
Sm 0.0000 0.5000 0.5000
Dy 0.2500 0.0000 0.7488
Dy 0.2504 0.1666 0.2513

Summary:
total magnetic moment: 0.00 Bohr magnetons per cell
calculated formation energy: 0.14 eV per formula unit

Record 4
A relaxed YAg2Br5 crystal, computed with PBE.

a = 5.6970 Å, b = 7.5288 Å, c = 7.6063 Å
α = 81.76°, β = 69.30°, γ = 68.76°
Space group P1 (No. 1)
Unique sites:
Y 0.0000 0.0000 0.0000
Ag 0.5005 0.9997 0.4986
Ag 0.5012 0.5041 0.9962
Br 0.0390 0.6699 0.2280
Br 0.2639 0.7687 0.6787
Br 0.5013 0.9983 0.9993
Br 0.7372 0.2311 0.3203
Br 0.9641 0.3293 0.7709

Summary:
formation energy (no corrections): -1.0553 eV per atom
total magnetic moment: 0.00 Bohr magnetons per cell

Record 5
A relaxed Ta2ZnFeSi crystal, computed with PBE.

a = 4.6845 Å, b = 4.6845 Å, c = 4.1306 Å
α = 90.00°, β = 90.00°, γ = 90.00°
Space group P4/mmm (No. 123)
Unique sites:
Ta 0.0000 0.5000 0.0000
Zn 0.0000 0.0000 0.5000
Fe 0.5000 0.5000 0.5000
Si 0.5000 0.5000 0.0000

Summary:
formation energy (no corrections): 0.7583 eV per atom
total magnetic moment: 1.77 Bohr magnetons per cell

Record 6
A relaxed YRu2W crystal, computed with PBE.

a = 6.4847 Å, b = 6.4847 Å, c = 6.4847 Å
α = 90.00°, β = 90.00°, γ = 90.00°
Space group Fm-3m (No. 225)
Unique sites:
Y 0.0000 0.0000 0.0000
Ru 0.2500 0.2500 0.2500
W 0.0000 0.0000 0.5000

Summary:
ΔE to the lowest computed polymorph: 127 meV/atom
total magnetic moment: 0.00 Bohr magnetons per cell
calculated formation energy: 0.17 eV per formula unit

Record 7
A relaxed Sc2Co crystal, computed with PBE.

a = 3.6196 Å, b = 3.6196 Å, c = 5.5903 Å
α = 90.00°, β = 90.00°, γ = 120.00°
Space group P-3m1 (No. 164)
Unique sites:
Sc 0.3333 0.6667 0.2420
Co 0.0000 0.0000 0.0000

Summary:
total magnetic moment: 0.00 Bohr magnetons per cell
calculated formation energy: -0.09 eV per formula unit

Record 8
A relaxed CeThPd2 crystal, computed with PBE.

a = 4.2281 Å, b = 4.2281 Å, c = 20.1450 Å
α = 90.00°, β = 90.00°, γ = 120.00°
Space group R-3m (No. 166, hexagonal axes)
Unique sites:
Ce 0.0000 0.0000 0.0000
Th 0.0000 0.0000 0.5000
Pd 0.0000 0.0000 0.2490

Summary:
ΔE to the lowest computed polymorph: 0 meV/atom
total magnetic moment: 2.42 Bohr magnetons per cell
calculated formation energy: -2.50 eV per formula unit

Record 9
A relaxed SmHoCo2 crystal, computed with PBE.

a = 6.7385 Å, b = 6.7385 Å, c = 6.7385 Å
α = 90.00°, β = 90.00°, γ = 90.00°
Space group Fm-3m (No. 225)
Unique sites:
Sm 0.0000 0.0000 0.0000
Ho 0.0000 0.0000 0.5000
Co 0.2500 0.2500 0.2500

Summary:
ΔE to the lowest computed polymorph: 76 meV/atom
total magnetic moment: 2.71 Bohr magnetons per cell
calculated formation energy: -0.35 eV per formula unit

Record 10
A relaxed Nd2DyCu9 crystal, computed with PBE.

a = 5.1929 Å, b = 5.1929 Å, c = 25.4448 Å
α = 90.00°, β = 90.00°, γ = 120.00°
Space group R-3m (No. 166, hexagonal axes)
Unique sites:
Nd 0.0000 0.0000 0.1405
Dy 0.0000 0.0000 0.0000
Cu 0.0000 0.0000 0.3320
Cu 0.0000 0.0000 0.5000
Cu 0.0029 0.5015 0.0797

Summary:
total magnetic moment: 0.00 Bohr magnetons per cell
calculated formation energy: -1.79 eV per formula unit

Record 11
A relaxed BaAl2ZnHg crystal, computed with PBE.

a = 5.2483 Å, b = 5.2483 Å, c = 5.2450 Å
α = 90.00°, β = 90.00°, γ = 90.00°
Space group P4/mmm (No. 123)
Unique sites:
Ba 0.0000 0.0000 0.0000
Al 0.0000 0.5000 0.5000
Zn 0.5000 0.5000 0.0000
Hg 0.5000 0.5000 0.5000

Summary:
total magnetic moment: 0.00 Bohr magnetons per cell
calculated formation energy: 1.07 eV per formula unit

Record 12
A relaxed BeAgW2 crystal, computed with PBE.

a = 2.7766 Å, b = 2.7766 Å, c = 27.1240 Å
α = 90.00°, β = 90.00°, γ = 120.00°
Space group R3m (No. 160, hexagonal axes)
Unique sites:
Be 0.0000 0.0000 0.0000
Ag 0.0000 0.0000 0.2594
W 0.0000 0.0000 0.4987
W 0.0000 0.0000 0.7422

Summary:
total magnetic moment: 0.00 Bohr magnetons per cell
calculated formation energy: 1.76 eV per formula unit

Record 13
A relaxed Cs2PmZnBr6 crystal, computed with PBE.

a = 8.1843 Å, b = 8.1843 Å, c = 11.5115 Å
α = 90.00°, β = 90.00°, γ = 90.00°
Space group I4/mmm (No. 139)
Unique sites:
Cs 0.0000 0.5000 0.2500
Pm 0.0000 0.0000 0.0000
Zn 0.0000 0.0000 0.5000
Br 0.0000 0.0000 0.2501
Br 0.2487 0.2487 0.0000

Summary:
formation energy (no corrections): -1.5057 eV per atom
total magnetic moment: 0.00 Bohr magnetons per cell

Record 14
A relaxed La2Sm3Tm8 crystal, computed with PBE.

a = 6.1825 Å, b = 7.9586 Å, c = 9.4093 Å
α = 75.35°, β = 70.92°, γ = 74.77°
Space group P-1 (No. 2)
Unique sites:
La 0.2300 0.1176 0.4634
Sm 0.0000 0.5000 0.0000
Sm 0.4622 0.7306 0.9245
Tm 0.0757 0.0365 0.1516
Tm 0.1564 0.5775 0.3064
Tm 0.3071 0.6493 0.6160
Tm 0.3852 0.1942 0.7703

Summary:
ΔE to the lowest computed polymorph: 0 meV/atom
total magnetic moment: 0.00 Bohr magnetons per cell
calculated formation energy: 0.39 eV per formula unit

Record 15
A relaxed Al2PtAu crystal, computed with PBE.

a = 8.4325 Å, b = 2.9940 Å, c = 5.1831 Å
α = 90.00°, β = 101.86°, γ = 90.00°
Space group C2/m (No. 12)
Unique sites:
Al 0.2453 0.0000 0.2341
Pt 0.0000 0.5000 0.0000
Au 0.0000 0.0000 0.5000

Summary:
ΔE to the lowest computed polymorph: 182 meV/atom
total magnetic moment: 0.00 Bohr magnetons per cell
calculated formation energy: -2.06 eV per formula unit

Record 16
A relaxed Ce3RuPb crystal, computed with PBE.

a = 5.3248 Å, b = 5.3248 Å, c = 5.3248 Å
α = 90.00°, β = 90.00°, γ = 90.00°
Space group Pm-3m (No. 221)
Unique sites:
Ce 0.0000 0.0000 0.5000
Ru 0.0000 0.0000 0.0000
Pb 0.5000 0.5000 0.5000

Summary:
ΔE to the lowest computed polymorph: 18 meV/atom
total magnetic moment: 2.55 Bohr magnetons per cell
calculated formation energy: -1.40 eV per formula unit

Record 17
A relaxed Be2SiAu crystal, computed with PBE.

a = 3.7638 Å, b = 3.7638 Å, c = 3.5540 Å
α = 90.00°, β = 90.00°, γ = 90.00°
Space group P4/mmm (No. 123)
Unique sites:
Be 0.0000 0.5000 0.0000
Si 0.0000 0.0000 0.5000
Au 0.5000 0.5000 0.5000

Summary:
formation energy (no corrections): 0.2225 eV per atom
total magnetic moment: 0.00 Bohr magnetons per cell

Record 18
A relaxed TmLuBr crystal, computed with PBE.

a = 3.6434 Å, b = 3.6434 Å, c = 7.1599 Å
α = 90.00°, β = 90.00°, γ = 120.00°
Space group P3m1 (No. 156)
Unique sites:
Tm 0.0000 0.0000 0.0000
Lu 0.6667 0.3333 0.3575
Br 0.3333 0.6667 0.6784

Summary:
formation energy (no corrections): -0.6983 eV per atom
total magnetic moment: 0.03 Bohr magnetons per cell

Record 19
A relaxed TaBP3 crystal, computed with PBE.

a = 4.1018 Å, b = 4.1018 Å, c = 4.1018 Å
α = 90.00°, β = 90.00°, γ = 90.00°
Space group Pm-3m (No. 221)
Unique sites:
Ta 0.0000 0.0000 0.0000
B 0.5000 0.5000 0.5000
P 0.0000 0.5000 0.5000

Summary:
ΔE to the lowest computed polymorph: 0 meV/atom
total magnetic moment: 0.00 Bohr magnetons per cell
calculated formation energy: 3.73 eV per formula unit

Record 20
A relaxed Na10B17C3 crystal, computed with PBE.

a = 14.8083 Å, b = 5.1332 Å, c = 9.1214 Å
α = 90.00°, β = 108.94°, γ = 90.00°
Space group C2 (No. 5)
Unique sites:
Na 0.0493 0.0000 0.2468
Na 0.0503 0.4973 0.7519
Na 0.1504 0.9996 0.7507
Na 0.1498 0.5013 0.2487
Na 0.2499 0.0020 0.2486
B 0.0000 0.1539 0.5000
B 0.0000 0.6452 0.0000
B 0.0000 0.8155 0.5000
B 0.0954 0.3278 0.5000
B 0.1009 0.1782 0.0001
B 0.1011 0.8370 0.0000
B 0.1044 0.6638 0.5004
B 0.1975 0.8442 0.5000
B 0.2029 0.1816 0.5000
B 0.2049 0.6545 0.0000
C 0.0000 0.3381 0.0000
C 0.1999 0.3341 0.0000

Summary:
ΔE to the lowest computed polymorph: 38 meV/atom
total magnetic moment: 0.00 Bohr magnetons per cell
calculated formation energy: 7.28 eV per formula unit